A plane-wave DFT calculation with GGA+U was carried out for an optimized crystal structure of NiBiSe2O8.

Unit cell a=5.613 b=5.613 c=6.636 alpha=90.00 beta=90.00 gamma=120.00
Sites, in units of the cell vectors:
O  0.667  0.333  0.521
O  0.157  0.314  0.788
O  0.333  0.667  0.479
O  0.843  0.686  0.212
O  0.686  0.843  0.788
O  0.157  0.843  0.788
O  0.314  0.157  0.212
O  0.843  0.157  0.212
Se  0.333  0.667  0.729
Se  0.667  0.333  0.271
Bi  0.000  0.000  0.500
Ni  0.000  0.000  0.000

## Properties
- raw total energy (eV/atom) = -5.130